(1)
Ca3GaAu after structural relaxation, computed with PBEsol.

Cell: 5.5608 5.5608 5.5608 Å, 90.00 90.00 90.00°
Fractional coordinates of all 5 atoms:
Ca 0.0000 0.0000 0.5000
Ca 0.0000 0.5000 0.0000
Ca 0.5000 0.0000 0.0000
Ga 0.0000 0.0000 0.0000
Au 0.5000 0.5000 0.5000

For the total moment, the calculation gives 0.00 μB/f.u. As for the space group: Pm-3m, No. 221. The calculation puts the theoretical density at 3.74 g cm⁻³. Its volume is 34.4 A^3/atom. Its crystal system is cubic. Its calculated formation energy is -0.008 eV/atom.



(2)
CaGaAu3 after structural relaxation, computed with PBEsol.

Cell: 9.0458 9.0458 9.0458 Å, 90.00 90.00 90.00°
Fractional coordinates of all 40 atoms:
Ca 0.1050 0.1050 0.1050
Ca 0.1050 0.3950 0.6050
Ca 0.3950 0.6050 0.1050
Ca 0.3950 0.8950 0.6050
Ca 0.6050 0.1050 0.3950
Ca 0.6050 0.3950 0.8950
Ca 0.8950 0.6050 0.3950
Ca 0.8950 0.8950 0.8950
Ga 0.1016 0.6016 0.8984
Ga 0.1016 0.8984 0.3984
Ga 0.3984 0.1016 0.8984
Ga 0.3984 0.3984 0.3984
Ga 0.6016 0.6016 0.6016
Ga 0.6016 0.8984 0.1016
Ga 0.8984 0.1016 0.6016
Ga 0.8984 0.3984 0.1016
Au 0.0808 0.7374 0.1453
Au 0.0808 0.7626 0.6453
Au 0.1453 0.0808 0.7374
Au 0.1453 0.4192 0.2374
Au 0.2374 0.1453 0.4192
Au 0.2374 0.3547 0.9192
Au 0.2626 0.6453 0.4192
Au 0.2626 0.8547 0.9192
Au 0.3547 0.5808 0.7374
Au 0.3547 0.9192 0.2374
Au 0.4192 0.2374 0.1453
Au 0.4192 0.2626 0.6453
Au 0.5808 0.7374 0.3547
Au 0.5808 0.7626 0.8547
Au 0.6453 0.0808 0.7626
Au 0.6453 0.4192 0.2626
Au 0.7374 0.1453 0.0808
Au 0.7374 0.3547 0.5808
Au 0.7626 0.6453 0.0808
Au 0.7626 0.8547 0.5808
Au 0.8547 0.5808 0.7626
Au 0.8547 0.9192 0.2626
Au 0.9192 0.2374 0.3547
Au 0.9192 0.2626 0.8547

For the total moment, the calculation gives 0.00 μB/f.u. As for the space group: Pa-3, No. 205. The calculation puts the theoretical density at 12.58 g cm⁻³. Its volume is 18.5 A^3/atom. Its crystal system is cubic. Its calculated formation energy is -0.594 eV/atom.



(3)
CaGaAu after structural relaxation, computed with PBEsol.

Cell: 7.2026 4.5193 7.6104 Å, 90.00 90.00 90.00°
Fractional coordinates of all 12 atoms:
Ca 0.0064 0.2500 0.1978
Ca 0.4936 0.7500 0.6978
Ca 0.5064 0.2500 0.3022
Ca 0.9936 0.7500 0.8022
Ga 0.1784 0.2500 0.5789
Ga 0.3216 0.7500 0.0789
Ga 0.6784 0.2500 0.9211
Ga 0.8216 0.7500 0.4211
Au 0.2046 0.7500 0.4051
Au 0.2954 0.2500 0.9051
Au 0.7046 0.7500 0.0949
Au 0.7954 0.2500 0.5949

For the total moment, the calculation gives 0.00 μB/f.u. As for the space group: Pnma, No. 62. The calculation puts the theoretical density at 8.23 g cm⁻³. Its volume is 20.6 A^3/atom. Its crystal system is orthorhombic. Its calculated formation energy is -0.734 eV/atom.



(4)
Ca4Ge3Au5 after structural relaxation, computed with PBEsol.

Cell: 5.7470 5.7470 10.5404 Å, 94.50 94.50 46.04°
Fractional coordinates of all 12 atoms:
Ca 0.0000 0.0000 0.0000
Ca 0.2064 0.2064 0.2977
Ca 0.5026 0.5026 0.5046
Ca 0.6987 0.6987 0.7907
Ge 0.4019 0.4019 0.7902
Ge 0.7165 0.7165 0.0950
Ge 0.9066 0.9066 0.2759
Au 0.2095 0.2095 0.5983
Au 0.2899 0.2899 0.9982
Au 0.5036 0.5036 0.2083
Au 0.7996 0.7996 0.4872
Au 0.9837 0.9837 0.7138

For the total moment, the calculation gives 0.00 μB/f.u. As for the space group: Cm, No. 8. The calculation puts the theoretical density at 9.07 g cm⁻³. Its volume is 20.8 A^3/atom. Its crystal system is monoclinic. Its calculated formation energy is -0.742 eV/atom.



(5)
CaSnGeAu2 after structural relaxation, computed with PBEsol.

Cell: 5.1225 5.1225 5.2284 Å, 90.00 90.00 90.00°
Fractional coordinates of all 5 atoms:
Ca 0.0000 0.0000 0.0000
Sn 0.5000 0.5000 0.5000
Ge 0.5000 0.5000 0.0000
Au 0.0000 0.5000 0.5000
Au 0.5000 0.0000 0.5000

For the total moment, the calculation gives 0.00 μB/f.u. As for the space group: P4/mmm, No. 123. The calculation puts the theoretical density at 7.57 g cm⁻³. Its volume is 27.4 A^3/atom. Its crystal system is tetragonal. Its calculated formation energy is 0.154 eV/atom.



(6)
Ca2H2Au after structural relaxation, computed with PBEsol.

Cell: 6.6847 6.6847 6.6847 Å, 148.17 148.17 45.63°
Fractional coordinates of all 5 atoms:
Ca 0.1449 0.1449 0.0000
Ca 0.8551 0.8551 0.0000
H 0.2500 0.7500 0.5000
H 0.7500 0.2500 0.5000
Au 0.5000 0.5000 0.0000

For the total moment, the calculation gives 0.00 μB/f.u. As for the space group: I4/mmm, No. 139. The calculation puts the theoretical density at 5.60 g cm⁻³. Its volume is 16.6 A^3/atom. Its crystal system is tetragonal. Its total energy is -17.82 eV/cell.



(7)
CaHfHgAu2 after structural relaxation, computed with PBEsol.

Cell: 5.0704 5.0704 5.8865 Å, 90.00 90.00 90.00°
Fractional coordinates of all 5 atoms:
Ca 0.0000 0.0000 0.0000
Hf 0.0000 0.0000 0.5000
Hg 0.5000 0.5000 0.0000
Au 0.0000 0.5000 0.5000
Au 0.5000 0.0000 0.5000

For the total moment, the calculation gives 0.00 μB/f.u. As for the space group: P4/mmm, No. 123. The calculation puts the theoretical density at 8.92 g cm⁻³. Its volume is 30.3 A^3/atom. Its crystal system is tetragonal. Its calculated formation energy is 0.591 eV/atom.



(8)
CaHf2SnAu after structural relaxation, computed with PBEsol.

Cell: 5.2081 5.2081 5.4654 Å, 90.00 90.00 90.00°
Fractional coordinates of all 5 atoms:
Ca 0.0000 0.0000 0.0000
Hf 0.0000 0.5000 0.5000
Hf 0.5000 0.0000 0.5000
Sn 0.0000 0.0000 0.5000
Au 0.5000 0.5000 0.0000

For the total moment, the calculation gives 0.00 μB/f.u. As for the space group: P4/mmm, No. 123. The calculation puts the theoretical density at 7.98 g cm⁻³. Its volume is 29.6 A^3/atom. Its crystal system is tetragonal. Its calculated formation energy is 0.936 eV/atom.



(9)
CaHf2ZnAu after structural relaxation, computed with PBEsol.

Cell: 4.9440 4.9440 4.8236 Å, 90.00 90.00 90.00°
Fractional coordinates of all 5 atoms:
Ca 0.0000 0.0000 0.0000
Hf 0.0000 0.5000 0.5000
Hf 0.5000 0.0000 0.5000
Zn 0.5000 0.5000 0.5000
Au 0.5000 0.5000 0.0000

For the total moment, the calculation gives 0.00 μB/f.u. As for the space group: P4/mmm, No. 123. The calculation puts the theoretical density at 9.29 g cm⁻³. Its volume is 23.6 A^3/atom. Its crystal system is tetragonal. Its calculated formation energy is 0.535 eV/atom.



(10)
CaHg2Au after structural relaxation, computed with PBEsol.

Cell: 4.3662 4.3662 4.6280 Å, 90.00 90.00 90.00°
Fractional coordinates of all 4 atoms:
Ca 0.0000 0.0000 0.0000
Hg 0.0000 0.5000 0.5000
Hg 0.5000 0.0000 0.5000
Au 0.5000 0.5000 0.0000

For the total moment, the calculation gives 0.00 μB/f.u. As for the space group: P4/mmm, No. 123. The calculation puts the theoretical density at 12.01 g cm⁻³. Its volume is 22.1 A^3/atom. Its crystal system is tetragonal. Its calculated formation energy is -0.438 eV/atom.



(11)
Ca2HgAu after structural relaxation, computed with PBEsol.

Cell: 5.1139 5.1139 3.6685 Å, 90.00 90.00 90.00°
Fractional coordinates of all 4 atoms:
Ca 0.0000 0.5000 0.0000
Ca 0.5000 0.0000 0.0000
Hg 0.0000 0.0000 0.5000
Au 0.5000 0.5000 0.5000

For the total moment, the calculation gives 0.00 μB/f.u. As for the space group: P4/mmm, No. 123. The calculation puts the theoretical density at 8.27 g cm⁻³. Its volume is 24.0 A^3/atom. Its crystal system is tetragonal. Its calculated formation energy is -0.661 eV/atom.



(12)
CaHgAu after structural relaxation, computed with PBEsol.

Cell: 5.3507 5.3507 5.3507 Å, 138.90 138.90 59.52°
Fractional coordinates of all 3 atoms:
Ca 0.0000 0.0000 0.0000
Hg 0.3252 0.3252 0.0000
Au 0.6630 0.6630 0.0000

For the total moment, the calculation gives 0.00 μB/f.u. As for the space group: I4mm, No. 107. The calculation puts the theoretical density at 11.09 g cm⁻³. Its volume is 21.8 A^3/atom. Its crystal system is tetragonal. Its calculated formation energy is -0.594 eV/atom.



(13)
CaHg2Au after structural relaxation, computed with PBEsol.

Cell: 3.5939 3.5939 6.7775 Å, 90.00 90.00 90.00°
Fractional coordinates of all 4 atoms:
Ca 0.0000 0.0000 0.0000
Hg 0.5000 0.5000 0.2749
Hg 0.5000 0.5000 0.7251
Au 0.0000 0.0000 0.5000

For the total moment, the calculation gives 0.00 μB/f.u. As for the space group: P4/mmm, No. 123. The calculation puts the theoretical density at 12.11 g cm⁻³. Its volume is 21.9 A^3/atom. Its crystal system is tetragonal. Its calculated formation energy is -0.400 eV/atom.



(14)
CaHg2Au after structural relaxation, computed with PBEsol.

Cell: 3.5773 4.1794 6.4250 Å, 90.00 106.24 90.00°
Fractional coordinates of all 4 atoms:
Ca 0.0000 0.0000 0.0000
Hg 0.2561 0.0000 0.5165
Hg 0.6476 0.5000 0.2961
Au 0.4077 0.5000 0.8158

For the total moment, the calculation gives 0.00 μB/f.u. As for the space group: Pm, No. 6. The calculation puts the theoretical density at 11.49 g cm⁻³. Its volume is 23.1 A^3/atom. Its crystal system is monoclinic. Its calculated formation energy is -0.422 eV/atom.



(15)
CaHg2Au after structural relaxation, computed with PBEsol.

Cell: 4.9654 4.9654 4.9654 Å, 60.00 60.00 60.00°
Fractional coordinates of all 4 atoms:
Ca 0.0000 0.0000 0.0000
Hg 0.2500 0.2500 0.2500
Hg 0.5000 0.5000 0.5000
Au 0.7500 0.7500 0.7500

For the total moment, the calculation gives 0.00 μB/f.u. As for the space group: F-43m, No. 216. The calculation puts the theoretical density at 12.24 g cm⁻³. Its volume is 21.6 A^3/atom. Its crystal system is cubic. Its calculated formation energy is -0.470 eV/atom.



(16)
CaHgAu after structural relaxation, computed with PBEsol.

Cell: 4.7710 4.7710 4.7710 Å, 60.00 60.00 60.00°
Fractional coordinates of all 3 atoms:
Ca 0.0000 0.0000 0.0000
Hg 0.5000 0.5000 0.5000
Au 0.2500 0.2500 0.2500

For the total moment, the calculation gives 0.00 μB/f.u. As for the space group: F-43m, No. 216. The calculation puts the theoretical density at 9.46 g cm⁻³. Its volume is 25.6 A^3/atom. Its crystal system is cubic. Its calculated formation energy is -0.531 eV/atom.



(17)
Ca2HgAu after structural relaxation, computed with PBEsol.

Cell: 4.6747 5.9389 5.9389 Å, 38.56 90.00 90.00°
Fractional coordinates of all 4 atoms:
Ca 0.0000 0.0000 0.0000
Ca 0.5000 0.2829 0.2829
Hg 0.5000 0.5617 0.5617
Au 0.0000 0.7231 0.7231

For the total moment, the calculation gives 0.00 μB/f.u. As for the space group: Amm2, No. 38. The calculation puts the theoretical density at 7.72 g cm⁻³. Its volume is 25.7 A^3/atom. Its crystal system is orthorhombic. Its calculated formation energy is -0.654 eV/atom.



(18)
CaHg2Au after structural relaxation, computed with PBEsol.

Cell: 3.6200 3.6200 6.8087 Å, 90.00 90.00 90.00°
Fractional coordinates of all 4 atoms:
Ca 0.0000 0.0000 0.0000
Hg 0.0000 0.0000 0.5328
Hg 0.5000 0.5000 0.2839
Au 0.5000 0.5000 0.7619

For the total moment, the calculation gives 0.00 μB/f.u. As for the space group: P4mm, No. 99. The calculation puts the theoretical density at 11.88 g cm⁻³. Its volume is 22.3 A^3/atom. Its crystal system is tetragonal. Its calculated formation energy is -0.424 eV/atom.



(19)
CaHgAu after structural relaxation, computed with PBEsol.

Cell: 4.7800 4.7800 3.4628 Å, 90.00 90.00 120.00°
Fractional coordinates of all 3 atoms:
Ca 0.0000 0.0000 0.0000
Hg 0.6667 0.3333 0.5000
Au 0.3333 0.6667 0.5000

For the total moment, the calculation gives 0.00 μB/f.u. As for the space group: P-6m2, No. 187. The calculation puts the theoretical density at 10.61 g cm⁻³. Its volume is 22.8 A^3/atom. Its crystal system is hexagonal. Its calculated formation energy is -0.593 eV/atom.



(20)
CaHg2Au after structural relaxation, computed with PBEsol.

Cell: 5.1524 5.1524 5.1524 Å, 126.58 126.58 78.94°
Fractional coordinates of all 4 atoms:
Ca 0.0000 0.0000 0.0000
Hg 0.2500 0.7500 0.5000
Hg 0.7500 0.2500 0.5000
Au 0.5000 0.5000 0.0000

For the total moment, the calculation gives 0.00 μB/f.u. As for the space group: I4/mmm, No. 139. The calculation puts the theoretical density at 12.42 g cm⁻³. Its volume is 21.3 A^3/atom. Its crystal system is tetragonal. Its calculated formation energy is -0.466 eV/atom.